Entry from Alexandria via LeMat-Bulk: a geometry-optimized CaSc2Al structure (GGA-PBE).

Calculated values
E_form ... -0.101 eV/atom
Electronic total energy ... -4.703 eV/atom
V ... 25.34 A^3/atom
DOS(E_F) ... 4.1 states/eV/cell
Space group ... No. 99

Cell: 3.425 3.425 8.639 Å, 90.00 90.00 90.00°
Element x y z (fractional)
Ca1 0.000 0.000 0.000
Sc1 0.000 0.000 0.560
Sc2 0.500 0.500 0.320
Al1 0.500 0.500 0.754

Entry from Alexandria via LeMat-Bulk: a geometry-optimized Ba2Zn4Pd5 structure (GGA-PBE).

Calculated values
E_form ... -0.423 eV/atom
Electronic total energy ... -3.596 eV/atom
V ... 21.54 A^3/atom
DOS(E_F) ... 3.9 states/eV/cell
Space group ... No. 12

Cell: 6.838 6.838 8.769 Å, 126.26 126.26 49.64°
Element x y z (fractional)
Ba1 0.202 0.202 0.258
Ba2 0.798 0.798 0.742
Zn1 0.126 0.126 0.575
Zn2 0.268 0.268 0.949
Zn3 0.732 0.732 0.051
Zn4 0.874 0.874 0.425
Pd1 0.218 0.706 0.257
Pd2 0.294 0.782 0.743
Pd3 0.500 0.500 0.000
Pd4 0.706 0.218 0.257
Pd5 0.782 0.294 0.743

Entry from Alexandria via LeMat-Bulk: a geometry-optimized La4Sm3Ga4 structure (GGA-PBE).

Calculated values
E_form ... -0.416 eV/atom
Electronic total energy ... -4.595 eV/atom
V ... 28.84 A^3/atom
DOS(E_F) ... 11.3 states/eV/cell
Space group ... No. 71

Cell: 10.688 10.688 10.688 Å, 160.45 128.81 55.32°
Element x y z (fractional)
La1 0.004 0.833 0.171
La2 0.338 0.167 0.171
La3 0.662 0.833 0.829
La4 0.996 0.167 0.829
Sm1 0.000 0.500 0.500
Sm2 0.408 0.408 0.000
Sm3 0.592 0.592 0.000
Ga1 0.276 0.000 0.276
Ga2 0.280 0.780 0.500
Ga3 0.720 0.220 0.500
Ga4 0.724 0.000 0.724

Entry from Alexandria via LeMat-Bulk: a geometry-optimized KNiCl structure (GGA-PBE).

Calculated values
E_form (uncorrected) ... -0.07 eV per atom
Electronic total energy ... -2.982 eV/atom
V ... 29.59 A^3/atom
DOS(E_F) ... 4.7 states/eV/cell
Relative energy among the computed polymorphs ... 157 kJ/mol of formula units
Space group ... No. 44

Cell: 5.552 5.552 5.552 Å, 134.39 132.38 68.07°
Element x y z (fractional)
K1 0.000 0.000 0.000
Ni1 0.606 0.606 0.000
Cl1 0.381 0.381 0.000

Entry from Alexandria via LeMat-Bulk: a geometry-optimized Y2SiTe structure (GGA-PBE).

Calculated values
E_form (uncorrected) ... -0.55 eV per atom
Electronic total energy ... -5.926 eV/atom
V ... 37.81 A^3/atom
DOS(E_F) ... 0.0 states/eV/cell
Relative energy among the computed polymorphs ... 220 kJ/mol of formula units
Space group ... No. 122

Cell: 8.228 8.228 8.228 Å, 131.89 131.89 70.40°
Element x y z (fractional)
Y1 0.085 0.625 0.960
Y2 0.375 0.335 0.460
Y3 0.665 0.125 0.040
Y4 0.875 0.915 0.540
Si1 0.000 0.000 0.000
Si2 0.750 0.250 0.500
Te1 0.250 0.750 0.500
Te2 0.500 0.500 0.000

Entry from Alexandria via LeMat-Bulk: a geometry-optimized TaNb12Sn6 structure (GGA-PBE).

Calculated values
E_form ... 0.053 eV/atom
Electronic total energy ... -8.195 eV/atom
V ... 19.75 A^3/atom
DOS(E_F) ... 15.6 states/eV/cell
Space group ... No. 148

Cell: 7.214 7.214 7.214 Å, 90.96 90.96 90.96°
Element x y z (fractional)
Ta1 0.000 0.000 0.000
Nb1 0.058 0.372 0.140
Nb2 0.140 0.058 0.372
Nb3 0.192 0.567 0.483
Nb4 0.372 0.140 0.058
Nb5 0.433 0.517 0.808
Nb6 0.483 0.192 0.567
Nb7 0.517 0.808 0.433
Nb8 0.567 0.483 0.192
Nb9 0.628 0.860 0.942
Nb10 0.808 0.433 0.517
Nb11 0.860 0.942 0.628
Nb12 0.942 0.628 0.860
Sn1 0.122 0.276 0.734
Sn2 0.266 0.878 0.724
Sn3 0.276 0.734 0.122
Sn4 0.724 0.266 0.878
Sn5 0.734 0.122 0.276
Sn6 0.878 0.724 0.266

Entry from Alexandria via LeMat-Bulk: a geometry-optimized Pm14SmPu structure (GGA-PBE).

Calculated values
E_form ... 0.043 eV/atom
Electronic total energy ... -5.305 eV/atom
V ... 33.94 A^3/atom
DOS(E_F) ... 31.7 states/eV/cell
Space group ... No. 38

Cell: 10.243 7.281 7.281 Å, 90.01 90.00 90.00°
Element x y z (fractional)
Pm1 0.000 0.000 0.000
Pm2 0.000 0.000 0.500
Pm3 0.000 0.499 0.499
Pm4 0.000 0.500 0.000
Pm5 0.253 0.252 0.252
Pm6 0.253 0.252 0.748
Pm7 0.253 0.748 0.252
Pm8 0.253 0.748 0.748
Pm9 0.500 0.000 0.500
Pm10 0.500 0.500 0.000
Pm11 0.747 0.252 0.252
Pm12 0.747 0.252 0.748
Pm13 0.747 0.748 0.252
Pm14 0.747 0.748 0.748
Sm1 0.500 0.999 0.999
Pu1 0.500 0.500 0.500

Entry from Alexandria via LeMat-Bulk: a geometry-optimized ReTe2Br structure (GGA-PBE).

Calculated values
E_form (uncorrected) ... 1.23 eV per atom
Electronic total energy ... -3.875 eV/atom
V ... 21.82 A^3/atom
DOS(E_F) ... 3.4 states/eV/cell
Relative energy among the computed polymorphs ... 488 kJ/mol of formula units
Space group ... No. 47

Cell: 3.501 4.965 5.022 Å, 90.00 90.00 90.00°
Element x y z (fractional)
Re1 0.000 0.000 0.000
Te1 0.000 0.500 0.500
Te2 0.500 0.500 0.000
Br1 0.500 0.000 0.500

Entry from Alexandria via LeMat-Bulk: a geometry-optimized Ca4AgRh structure (GGA-PBE).

Calculated values
E_form ... -0.251 eV/atom
Electronic total energy ... -3.286 eV/atom
V ... 30.22 A^3/atom
DOS(E_F) ... 1.7 states/eV/cell
Relative energy among the computed polymorphs ... 47 kJ/mol of formula units
Space group ... No. 123

Cell: 5.006 5.006 7.235 Å, 90.00 90.00 90.00°
Element x y z (fractional)
Ca1 0.000 0.500 0.232
Ca2 0.000 0.500 0.768
Ca3 0.500 0.000 0.232
Ca4 0.500 0.000 0.768
Ag1 0.000 0.000 0.500
Rh1 0.500 0.500 0.000

Entry from Alexandria via LeMat-Bulk: a geometry-optimized CrAuBr2 structure (GGA-PBE).

Calculated values
E_form (uncorrected) ... 0.01 eV per atom
Electronic total energy ... -4.049 eV/atom
V ... 25.96 A^3/atom
DOS(E_F) ... 4.8 states/eV/cell
Relative energy among the computed polymorphs ... 90 kJ/mol of formula units
Space group ... No. 35

Cell: 3.668 3.668 8.451 Å, 90.00 90.00 114.05°
Element x y z (fractional)
Cr1 0.000 0.000 0.000
Au1 0.500 0.500 0.204
Br1 0.000 0.000 0.407
Br2 0.500 0.500 0.813

Entry from Alexandria via LeMat-Bulk: a geometry-optimized MnAlVB2 structure (GGA-PBE).

Calculated values
E_form ... 1.513 eV/atom
Electronic total energy ... -5.564 eV/atom
V ... 13.71 A^3/atom
DOS(E_F) ... 6.8 states/eV/cell
Space group ... No. 123

Cell: 3.896 3.896 4.517 Å, 90.00 90.00 90.00°
Element x y z (fractional)
Mn1 0.000 0.000 0.000
Al1 0.500 0.500 0.000
V1 0.500 0.500 0.500
B1 0.000 0.500 0.500
B2 0.500 0.000 0.500

Entry from Alexandria via LeMat-Bulk: a geometry-optimized LiH4Rh structure (GGA-PBE).

Calculated values
Electronic total energy ... -3.947 eV/atom
V ... 7.22 A^3/atom
Relative energy among the computed polymorphs ... 0 kJ/mol of formula units
Space group ... No. 14

Cell: 4.988 3.957 4.539 Å, 90.00 104.86 90.00°
Element x y z (fractional)
Li1 0.000 0.000 0.000
Li2 0.000 0.500 0.500
H1 0.166 0.091 0.408
H2 0.166 0.409 0.908
H3 0.346 0.682 0.259
H4 0.346 0.818 0.759
H5 0.654 0.182 0.241
H6 0.654 0.318 0.741
H7 0.834 0.591 0.092
H8 0.834 0.909 0.592
Rh1 0.500 0.000 0.500
Rh2 0.500 0.500 0.000